DFT (PBE) results for Cs2TlV after structural relaxation.

Geometry as CIF:
```
data_Cs2TlV
_space_group_name_H-M_alt 'F m -3 m'
_space_group_IT_number 225
_space_group_name_Hall '-F 4 2 3'
_cell_length_a 8.875
_cell_length_b 8.875
_cell_length_c 8.875
_cell_angle_alpha 90.00
_cell_angle_beta 90.00
_cell_angle_gamma 90.00
loop_
_atom_site_label
_atom_site_type_symbol
_atom_site_fract_x
_atom_site_fract_y
_atom_site_fract_z
Cs1 Cs 0.250 0.250 0.250
Tl1 Tl 0.000 0.000 0.000
V1 V 0.000 0.000 0.500
```

Calculated values
The calculation puts the total energy at -1.946 eV per atom. Its energy of formation is 130.44 kJ per mole of atoms.